Ac5Pr4Nd (PBE, optimized geometry); space group = P4/mmm, No. 123; energy = -4.42 eV per atom; relative energy among the computed polymorphs = 6 meV/atom
1.0
3.904 0.000 0.000
0.000 3.904 0.000
0.000 0.000 26.458
Ac Pr Nd
5 4 1
Direct
0.000 0.000 0.000
0.000 0.000 0.200
0.000 0.000 0.401
0.000 0.000 0.599
0.000 0.000 0.800
0.500 0.500 0.100
0.500 0.500 0.300
0.500 0.500 0.700
0.500 0.500 0.900
0.500 0.500 0.500

=====

Ac3Pr4Nd4 (PBE, optimized geometry); space group = P-1, No. 2; energy = -4.56 eV per atom
1.0
3.742 0.000 0.000
-0.001 5.950 0.000
-1.861 -2.967 18.840
Ac Pr Nd
3 4 4
Direct
0.000 0.000 0.000
0.137 0.638 0.275
0.863 0.362 0.725
0.318 0.818 0.636
0.455 0.453 0.908
0.545 0.547 0.092
0.682 0.182 0.364
0.265 0.265 0.530
0.409 0.908 0.817
0.591 0.092 0.183
0.735 0.735 0.470

=====

Ac6PrNd8 (PBE, optimized geometry); space group = R-3, No. 148; energy = -4.39 eV per atom
1.0
4.805 2.774 7.376
-4.805 2.774 7.376
0.000 -5.548 7.376
Ac Pr Nd
6 1 8
Direct
0.041 0.740 0.590
0.260 0.410 0.959
0.410 0.959 0.260
0.590 0.041 0.740
0.740 0.590 0.041
0.959 0.260 0.410
0.500 0.500 0.500
0.075 0.075 0.075
0.206 0.261 0.612
0.261 0.612 0.206
0.388 0.794 0.739
0.612 0.206 0.261
0.739 0.388 0.794
0.794 0.739 0.388
0.925 0.925 0.925

=====

Ac8Pr3Nd2 (PBE, optimized geometry); space group = C2/m, No. 12; energy = -4.15 eV per atom; relative energy among the computed polymorphs = 14 meV/atom
1.0
7.968 -4.954 0.000
7.968 4.954 0.000
-1.171 0.000 7.211
Ac Pr Nd
8 3 2
Direct
0.067 0.696 0.074
0.089 0.089 0.375
0.302 0.302 0.686
0.304 0.933 0.926
0.696 0.067 0.074
0.698 0.698 0.314
0.911 0.911 0.625
0.933 0.304 0.926
0.338 0.662 0.500
0.500 0.500 0.000
0.662 0.338 0.500
0.305 0.305 0.205
0.695 0.695 0.795

=====

Ac5Pr2Nd4 (PBE, optimized geometry); space group = Immm, No. 71; energy = -4.30 eV per atom; relative energy among the computed polymorphs = 30 meV/atom
1.0
-1.886 4.970 12.127
1.886 -4.970 12.127
1.886 4.970 -12.127
Ac Pr Nd
5 2 4
Direct
0.000 0.000 0.000
0.057 0.352 0.705
0.353 0.648 0.705
0.647 0.352 0.295
0.943 0.648 0.295
0.272 0.772 0.500
0.728 0.228 0.500
0.307 0.500 0.807
0.408 0.908 0.500
0.592 0.092 0.500
0.693 0.500 0.193

=====

Ac8Pr2Nd (PBE, optimized geometry); space group = C2/m, No. 12; energy = -3.92 eV per atom; relative energy among the computed polymorphs = 260 meV/atom
1.0
6.672 -6.352 0.000
6.672 6.352 0.000
-1.533 0.000 6.119
Ac Pr Nd
8 2 1
Direct
0.083 0.083 0.293
0.154 0.642 0.200
0.232 0.232 0.886
0.358 0.846 0.800
0.642 0.154 0.200
0.768 0.768 0.114
0.846 0.358 0.800
0.917 0.917 0.707
0.368 0.368 0.481
0.632 0.632 0.519
0.500 0.500 0.000